Density functional theory data (PBE) for a relaxed structure of TaOs2Pb.

## Properties
space-group type	No. 99
total moment	0.0	μB/cell

Cell and atoms, written as extended XYZ:
```
4
Lattice="2.911 0.010 0.000 -0.014 2.911 0.000 0.000 0.000 8.411" Properties=species:S:1:pos:R:3 pbc="T T T"
Pb 0.000 0.000 4.110
Os 0.000 0.000 0.196
Ta 1.449 1.461 6.485
Os 1.449 1.461 1.825
```

---

Density functional theory data (PBE) for a relaxed structure of TaOs2Pb.

## Properties
space-group type	No. 6
total moment	0.0	μB/cell

Cell and atoms, written as extended XYZ:
```
4
Lattice="-1.307 1.208 3.395 -1.007 -2.674 0.564 5.247 -3.436 3.243" Properties=species:S:1:pos:R:3 pbc="T T T"
Ta 2.890 -3.900 4.664
Os 0.140 -0.093 0.087
Os -0.112 -1.073 2.503
Pb 2.137 -2.892 1.852
```

---

Number 1: energy relative to the elements 2.27 eV/f.u., total DFT energy (no corrections) -35.75 eV/cell. Number 2: energy relative to the elements 1.98 eV/f.u., total DFT energy (no corrections) -36.04 eV/cell.